First-principles (GGA-PBE) data for crystalline GdY2Pb7 at its relaxed geometry, as listed in OQMD via LeMat-Bulk.

abc: 13.172 13.172 4.706
angles: 90.00 90.00 159.50
Fractional coordinates of all 10 atoms:
Pb1 0.500 0.500 0.500
Pb2 0.294 0.706 0.500
Pb3 0.403 0.597 0.000
Pb4 0.098 0.902 0.500
Pb5 0.597 0.403 0.000
Pb6 0.902 0.098 0.500
Pb7 0.706 0.294 0.500
Gd1 0.000 0.000 0.000
Y1 0.189 0.811 0.000
Y2 0.811 0.189 0.000

Properties
Total magnetic moment   0.00 μB/atom
Total energy   -4.715 eV per atom